# meta-GGA SCAN V4HgO10, PBEsol geometry
data_V4HgO10
_space_group_name_H-M_alt 'P 1'
_space_group_IT_number 1
_cell_length_a 3.609
_cell_length_b 9.600
_cell_length_c 11.324
_cell_angle_alpha 91.63
_cell_angle_beta 99.17
_cell_angle_gamma 90.00
loop_
_space_group_symop_operation_xyz
'x,y,z'
loop_
_atom_site_label
_atom_site_fract_x
_atom_site_fract_y
_atom_site_fract_z
_atom_site_occupancy
O1 0.219 0.091 0.438 1
O2 0.770 0.282 0.539 1
O3 0.180 0.335 0.361 1
O4 0.899 0.002 0.798 1
O5 0.881 0.425 0.763 1
V1 0.258 0.234 0.516 1
V2 0.121 0.197 0.243 1
O6 0.337 0.164 0.675 1
Hg1 0.483 0.372 0.967 1
V3 0.188 0.534 0.375 1
O7 0.663 0.836 0.325 1
V4 0.812 0.466 0.625 1
O8 0.101 0.998 0.202 1
V5 0.742 0.766 0.484 1
O9 0.820 0.665 0.639 1
O10 0.543 0.843 0.085 1
V6 0.605 0.942 0.210 1
Hg2 0.517 0.628 0.033 1
O11 0.457 0.157 0.915 1
O12 0.119 0.575 0.237 1
O13 0.230 0.718 0.461 1
O14 0.373 0.854 0.746 1
O15 0.061 0.285 0.122 1
O16 0.939 0.715 0.878 1
O17 0.290 0.460 0.579 1
V7 0.879 0.803 0.757 1
V8 0.395 0.058 0.790 1
O18 0.781 0.909 0.562 1
O19 0.710 0.540 0.421 1
O20 0.627 0.146 0.254 1
# Uncorrected formation energy: -2.317 eV/atom
# Calculated density: 4.8 g/cm3
# Total DFT energy (no corrections): -15.679 eV/atom